Entry 1:
## BaSnAu3 (PBE-GGA)

Data for crystalline BaSnAu3 at its relaxed geometry.

Results
Relative energy among the computed polymorphs: 2.06 kcal/mol of atoms
Raw total energy: -3.547 eV per atom
Formation energy: -0.3957 eV/atom
Spin magnetization: 0.00 μB/f.u.

Cell: 7.4356 7.5032 5.4104 Å, 90.00 90.00 90.00°
With the nearest neighbours (Å) after each atom.
Space group Pbam (No. 55)
Unique sites:
Ba: 0.0000 0.0000 0.0000 (multiplicity 2)  8 Au 3.45-3.75
Sn: 0.0000 0.5000 0.5000 (multiplicity 2)  6 Au 2.69-2.71
Au: 0.0000 0.5000 0.0000 (multiplicity 2)  2 Sn 2.71
Au: 0.2019 0.2028 0.5000 (multiplicity 4)  2 Sn 2.69

=====

Entry 2:
## BaSn3Au (PBE-GGA)

Data for crystalline BaSn3Au at its relaxed geometry.

Results
Raw total energy: -3.563 eV per atom
Formation energy: -0.1213 eV/atom
Spin magnetization: 0.00 μB/f.u.

Cell: 5.5340 5.5340 5.5340 Å, 90.00 90.00 90.00°
With the nearest neighbours (Å) after each atom.
Space group Pm-3m (No. 221)
Unique sites:
Ba: 0.0000 0.0000 0.0000 (multiplicity 1)  12 Sn 3.91
Sn: 0.0000 0.5000 0.5000 (multiplicity 3)  2 Au 2.77
Au: 0.5000 0.5000 0.5000 (multiplicity 1)  6 Sn 2.77

=====

Entry 3:
## Ba4SnAu (PBE-GGA)

Data for crystalline Ba4SnAu at its relaxed geometry.

Results
Raw total energy: -2.980 eV per atom
Formation energy: -0.4848 eV/atom
Spin magnetization: 0.00 μB/f.u.

Cell: 10.8938 15.6329 7.9547 Å, 90.00 125.64 90.00°
With the nearest neighbours (Å) after each atom.
Space group C2/c (No. 15)
Unique sites:
Ba: 0.1219 0.1822 0.0937 (multiplicity 8)  2 Sn 3.62-3.64, 2 Au 3.62-3.65, 1 Ba 4.02
Ba: 0.2033 0.4446 0.2745 (multiplicity 8)  2 Au 3.35-3.46, 2 Sn 3.61-3.64
Sn: 0.0000 0.3656 0.7500 (multiplicity 4)  8 Ba 3.61-3.64
Au: 0.0000 0.0001 0.2500 (multiplicity 4)  8 Ba 3.35-3.65

=====

Entry 4:
## BaSnAu4 (PBE-GGA)

Data for crystalline BaSnAu4 at its relaxed geometry.

Results
Relative energy among the computed polymorphs: 0.00 kcal/mol of atoms
Raw total energy: -3.601 eV per atom
Formation energy: -0.4282 eV/atom
Spin magnetization: 0.00 μB/f.u.

Cell: 11.0873 7.9515 7.1444 Å, 90.00 108.12 90.00°
With the nearest neighbours (Å) after each atom.
Space group C2/m (No. 12)
Unique sites:
Ba: 0.1652 0.0000 0.2713 (multiplicity 4)  9 Au 3.42-3.66, 1 Sn 3.59
Sn: 0.0958 0.5000 0.2560 (multiplicity 4)  7 Au 2.80-2.99
Au: 0.0000 0.2602 0.5000 (multiplicity 4)  4 Au 2.91-2.92, 2 Sn 2.99
Au: 0.1205 0.3057 0.9203 (multiplicity 8)  4 Au 2.78-3.09, 2 Sn 2.80-2.94
Au: 0.1536 0.0000 0.7531 (multiplicity 4)  4 Au 2.78-2.92, 1 Sn 2.80